(1)
SrHgSbI2 meta-GGA SCAN single point on PBEsol structure; formation energy (no corrections) = -0.34 eV/atom; energy above the lowest structure with this stoichiometry = 0 meV/atom; total moment = 0.5740 μB/atom; final energy = -40.574 eV/atom; SG = P4/mmm, No. 123
1.0
-2.4971 -4.7380 -3.1188
-1.8163 -2.5604 5.3438
-5.7038 3.2555 -0.3789
I Sb Hg Sr
2 1 1 1
Direct
0.0000 0.5000 0.0000
0.5000 0.0000 0.0000
0.0000 0.0000 0.5000
0.5000 0.5000 0.5000
0.0000 0.0000 0.0000

(2)
TcHgSb2I meta-GGA SCAN single point on PBEsol structure; formation energy (no corrections) = 0.40 eV/atom; total moment = 0.0000 μB/atom; final energy = -42.499 eV/atom; SG = P4/mmm, No. 123
1.0
5.0234 0.0000 0.0000
0.0000 5.0234 0.0000
0.0000 0.0000 5.7740
I Sb Hg Tc
1 2 1 1
Direct
0.0000 0.0000 0.5000
0.0000 0.5000 0.0000
0.5000 0.0000 0.0000
0.5000 0.5000 0.5000
0.0000 0.0000 0.0000

(3)
HgSb2TeI meta-GGA SCAN single point on PBEsol structure; formation energy (no corrections) = 0.70 eV/atom; energy above the lowest structure with this stoichiometry = 0 meV/atom; total moment = 0.0000 μB/atom; final energy = -42.636 eV/atom; SG = P4/mmm, No. 123
1.0
5.4363 0.0000 0.0000
0.0000 5.5853 0.0000
0.0000 0.0000 5.5853
I Sb Te Hg
1 2 1 1
Direct
0.5000 0.5000 0.5000
0.0000 0.0000 0.5000
0.0000 0.5000 0.0000
0.5000 0.0000 0.0000
0.0000 0.0000 0.0000

(4)
HgSbWI2 meta-GGA SCAN single point on PBEsol structure; formation energy (no corrections) = 1.71 eV/atom; total moment = 0.7450 μB/atom; final energy = -48.007 eV/atom; SG = P4/mmm, No. 123
1.0
5.5510 0.0000 0.0000
0.0000 5.6064 0.0000
0.0000 0.0000 5.6064
I Sb Hg W
2 1 1 1
Direct
0.0000 0.0000 0.5000
0.0000 0.5000 0.0000
0.5000 0.0000 0.0000
0.0000 0.0000 0.0000
0.5000 0.5000 0.5000

(5)
HgSb2WI meta-GGA SCAN single point on PBEsol structure; formation energy (no corrections) = 1.86 eV/atom; total moment = 0.7291 μB/atom; final energy = -47.962 eV/atom; SG = P4/mmm, No. 123
1.0
-3.8273 -2.0570 3.1664
3.5925 -0.5958 3.9553
-1.2056 5.1148 1.8655
I Sb Hg W
1 2 1 1
Direct
0.0000 0.0000 0.5000
0.0000 0.5000 0.0000
0.5000 0.0000 0.0000
0.0000 0.0000 0.0000
0.5000 0.5000 0.5000

(6)
YHgSbI2 meta-GGA SCAN single point on PBEsol structure; formation energy (no corrections) = -0.49 eV/atom; total moment = 0.3986 μB/atom; final energy = -41.837 eV/atom; SG = P4/mmm, No. 123
1.0
5.8478 0.0000 0.0000
0.0000 5.8478 0.0000
0.0000 0.0000 6.0053
I Sb Y Hg
2 1 1 1
Direct
0.0000 0.5000 0.0000
0.5000 0.0000 0.0000
0.0000 0.0000 0.5000
0.0000 0.0000 0.0000
0.5000 0.5000 0.5000

(7)
ZrHgSb2I meta-GGA SCAN single point on PBEsol structure; formation energy (no corrections) = 0.07 eV/atom; total moment = 0.0000 μB/atom; final energy = -41.957 eV/atom; SG = P4/mmm, No. 123
1.0
-2.6151 3.6618 3.2098
2.7828 -1.8661 4.3959
4.0587 3.7539 -0.9758
I Sb Hg Zr
1 2 1 1
Direct
0.0000 0.0000 0.5000
0.0000 0.5000 0.0000
0.5000 0.0000 0.0000
0.5000 0.5000 0.5000
0.0000 0.0000 0.0000

(8)
Hg3Se2I2 meta-GGA SCAN single point on PBEsol structure; formation energy (no corrections) = -0.26 eV/atom; energy above the lowest structure with this stoichiometry = 0 meV/atom; total moment = 0.0000 μB/atom; final energy = -45.708 eV/atom; SG = Imma, No. 74
1.0
-6.5800 3.8071 5.8616
-6.8954 -2.5982 -6.0531
5.8907 -9.3034 4.7946
I Hg Se
8 12 8
Direct
0.4968 0.7500 0.5000
0.5032 0.2500 0.5000
0.9999 0.7500 0.5000
0.0001 0.2500 0.5000
0.2400 0.9981 0.9962
0.7437 0.5019 0.0038
0.2563 0.4981 0.9962
0.7600 0.0019 0.0038
0.3269 0.8802 0.7604
0.0664 0.6198 0.2396
0.9336 0.3802 0.7604
0.6731 0.1198 0.2396
0.7380 0.9695 0.5000
0.7380 0.5305 0.5000
0.2620 0.0305 0.5000
0.2620 0.4695 0.5000
0.3441 0.3441 0.1882
0.6559 0.1559 0.8118
0.6559 0.6559 0.8118
0.3441 0.8441 0.1882
0.3674 0.1396 0.7542
0.1132 0.3604 0.2458
0.8868 0.1146 0.7542
0.6326 0.3854 0.2458
0.6326 0.8604 0.2458
0.8868 0.6396 0.7542
0.1132 0.8854 0.2458
0.3674 0.6146 0.7542

(9)
Hg3Se2I2 meta-GGA SCAN single point on PBEsol structure; formation energy (no corrections) = -0.25 eV/atom; energy above the lowest structure with this stoichiometry = 5 meV/atom; total moment = 0.0000 μB/atom; final energy = -45.703 eV/atom; SG = C2/m, No. 12
1.0
9.4216 0.0000 0.0000
-4.7108 9.5165 0.0169
0.0000 -4.7578 10.0490
Hg I Se
12 8 8
Direct
0.0856 0.1713 0.7335
0.9144 0.8287 0.2665
0.2223 0.4446 0.2775
0.7777 0.5554 0.7225
0.8609 0.2427 0.0024
0.6182 0.7573 0.9976
0.1391 0.7573 0.9976
0.3818 0.2427 0.0024
0.8179 0.1517 0.3067
0.6662 0.8483 0.6933
0.1821 0.8483 0.6933
0.3338 0.1517 0.3067
0.0000 0.0000 0.0000
0.5000 0.0000 0.0000
0.6157 0.2314 0.5076
0.3843 0.7686 0.4924
0.1289 0.2578 0.4974
0.8711 0.7422 0.5026
0.7514 0.5028 0.9979
0.2486 0.4972 0.0021
0.9286 0.3878 0.2539
0.5408 0.6122 0.7461
0.0714 0.6122 0.7461
0.4592 0.3878 0.2539
0.8044 0.1387 0.7507
0.6658 0.8613 0.2493
0.1956 0.8613 0.2493
0.3342 0.1387 0.7507

(10)
SiHgI2 meta-GGA SCAN single point on PBEsol structure; formation energy (no corrections) = 0.23 eV/atom; total moment = 0.0000 μB/atom; final energy = -37.691 eV/atom; SG = Fd-3m, No. 227
1.0
-7.7039 2.3609 3.5337
-6.7433 -5.6513 0.0277
-2.6688 -3.6274 7.5584
I Si Hg
4 2 2
Direct
0.1250 0.1250 0.6250
0.1250 0.1250 0.1250
0.6250 0.1250 0.1250
0.1250 0.6250 0.1250
0.2500 0.2500 0.2500
0.0000 0.0000 0.0000
0.7500 0.7500 0.7500
0.5000 0.5000 0.5000

(11)
SiHg2I meta-GGA SCAN single point on PBEsol structure; formation energy (no corrections) = 0.15 eV/atom; total moment = 0.0001 μB/atom; final energy = -45.619 eV/atom; SG = I-42d, No. 122
1.0
-2.1003 -0.1568 6.0950
-2.9618 -5.6085 -1.1649
7.6350 -0.1618 -0.7845
I Si Hg
2 2 4
Direct
0.2500 0.7500 0.5000
0.0000 0.0000 0.0000
0.7500 0.2500 0.5000
0.5000 0.5000 0.0000
0.7950 0.3750 0.2500
0.4550 0.8750 0.2500
0.6250 0.5450 0.7500
0.1250 0.2050 0.7500

(12)
Sn2HgI2 meta-GGA SCAN single point on PBEsol structure; formation energy (no corrections) = -0.05 eV/atom; total moment = 0.0000 μB/atom; final energy = -42.746 eV/atom; SG = I4/mmm, No. 139
1.0
6.3109 0.0000 0.0000
-3.1555 5.4303 0.0707
0.0000 3.5997 5.1836
I Hg Sn
2 1 2
Direct
0.7500 0.5000 0.7500
0.2500 0.5000 0.2500
0.0000 0.0000 0.0000
0.6773 0.3547 0.3227
0.3227 0.6453 0.6773

(13)
SnHg3I meta-GGA SCAN single point on PBEsol structure; formation energy (no corrections) = -0.08 eV/atom; total moment = 0.0000 μB/atom; final energy = -55.511 eV/atom; SG = Pm-3m, No. 221
1.0
5.4801 0.0000 0.0000
0.0000 5.4801 0.0000
0.0000 0.0000 5.4801
I Hg Sn
1 3 1
Direct
0.5000 0.5000 0.5000
0.0000 0.5000 0.0000
0.0000 0.0000 0.5000
0.5000 0.0000 0.0000
0.0000 0.0000 0.0000

(14)
SrHgI2 meta-GGA SCAN single point on PBEsol structure; formation energy (no corrections) = -1.25 eV/atom; total moment = 0.0000 μB/atom; final energy = -42.233 eV/atom; SG = Fm-3m, No. 225
1.0
5.7397 0.0000 0.0000
2.8699 4.9707 0.0000
2.8699 1.6569 4.6864
I Sr Hg
2 1 1
Direct
0.2500 0.2500 0.2500
0.7500 0.7500 0.7500
0.0000 0.0000 0.0000
0.5000 0.5000 0.5000

(15)
Sr2HgI2 meta-GGA SCAN single point on PBEsol structure; formation energy (no corrections) = -0.90 eV/atom; total moment = 0.3568 μB/atom; final energy = -38.142 eV/atom; SG = I4/mmm, No. 139
1.0
-1.7451 -2.7241 -5.2907
-2.2103 -2.8162 5.8135
-5.9494 0.9174 1.4900
I Sr Hg
2 2 1
Direct
0.6696 0.3393 0.3304
0.3304 0.6607 0.6696
0.7500 0.5000 0.7500
0.2500 0.5000 0.2500
0.0000 0.0000 0.0000

(16)
TcHg3I meta-GGA SCAN single point on PBEsol structure; formation energy (no corrections) = 0.48 eV/atom; total moment = 0.6719 μB/atom; final energy = -54.784 eV/atom; SG = Pm-3m, No. 221
1.0
5.3048 0.0000 0.0000
0.0000 5.3048 0.0000
0.0000 0.0000 5.3048
I Hg Tc
1 3 1
Direct
0.5000 0.5000 0.5000
0.0000 0.5000 0.0000
0.0000 0.0000 0.5000
0.5000 0.0000 0.0000
0.0000 0.0000 0.0000

(17)
TcHg2I meta-GGA SCAN single point on PBEsol structure; formation energy (no corrections) = 1.11 eV/atom; total moment = 0.5116 μB/atom; final energy = -50.919 eV/atom; SG = Fm-3m, No. 225
1.0
-0.8935 -0.9420 4.8518
3.8184 -0.2596 3.2524
0.6362 3.6226 3.4202
I Hg Tc
1 2 1
Direct
0.5000 0.5000 0.5000
0.2500 0.2500 0.2500
0.7500 0.7500 0.7500
0.0000 0.0000 0.0000

(18)
Hg3Te2I2 meta-GGA SCAN single point on PBEsol structure; formation energy (no corrections) = -0.26 eV/atom; total moment = 0.0000 μB/atom; final energy = -50.610 eV/atom; SG = C2/c, No. 15
1.0
8.5828 0.0730 0.1447
2.9954 8.0435 0.1447
2.1493 1.5066 14.1444
Hg I Te
12 8 8
Direct
0.6695 0.3305 0.2500
0.3305 0.6695 0.7500
0.0000 0.5000 0.0000
0.5000 0.0000 0.5000
0.3117 0.7534 0.0177
0.2466 0.6883 0.4823
0.6883 0.2466 0.9823
0.7534 0.3117 0.5177
0.1329 0.1034 0.3237
0.8966 0.8671 0.1763
0.8671 0.8966 0.6763
0.1034 0.1329 0.8237
0.1340 0.0879 0.1122
0.9121 0.8660 0.3878
0.8660 0.9121 0.8878
0.0879 0.1340 0.6122
0.6117 0.6550 0.1173
0.3450 0.3883 0.3827
0.3883 0.3450 0.8827
0.6550 0.6117 0.6173
0.4292 0.8622 0.3641
0.1378 0.5708 0.1359
0.5708 0.1378 0.6359
0.8622 0.4292 0.8641
0.8849 0.4042 0.3407
0.5958 0.1151 0.1593
0.1151 0.5958 0.6593
0.4042 0.8849 0.8407

(19)
Tl2Hg2I meta-GGA SCAN single point on PBEsol structure; formation energy (no corrections) = -0.18 eV/atom; total moment = 0.0000 μB/atom; final energy = -63.738 eV/atom; SG = P4/mbm, No. 127
1.0
3.9002 0.0000 0.0000
0.0000 8.8277 0.0000
0.0000 0.0000 8.8277
I Tl Hg
2 4 4
Direct
0.0000 0.0000 0.0000
0.0000 0.5000 0.5000
0.0000 0.3297 0.8297
0.0000 0.8297 0.6703
0.0000 0.6703 0.1703
0.0000 0.1703 0.3297
0.5000 0.1306 0.6306
0.5000 0.6306 0.8694
0.5000 0.8694 0.3694
0.5000 0.3694 0.1306

(20)
TlHg2I2 meta-GGA SCAN single point on PBEsol structure; formation energy (no corrections) = -0.21 eV/atom; total moment = 0.0000 μB/atom; final energy = -56.646 eV/atom; SG = I4/mmm, No. 139
1.0
-2.3140 5.5646 -1.0328
-3.7292 -5.0164 -0.5729
-4.3064 -1.0072 4.2221
I Tl Hg
2 1 2
Direct
0.7500 0.5000 0.7500
0.2500 0.5000 0.2500
0.0000 0.0000 0.0000
0.6492 0.2984 0.3508
0.3508 0.7016 0.6492